Entry from the Alexandria database: an optimized crystal structure of Sr2CdCo (PBE).

a = 5.4607 Å, b = 5.4607 Å, c = 3.9390 Å
α = 90.00°, β = 90.00°, γ = 90.14°
Last column: nearest neighbours and their distance in Å.
Positions (direct):
Sr1 0.0000 0.5000 0.0000  4 Cd 3.37, 4 Co 3.37
Sr2 0.5000 0.0000 0.0000  4 Cd 3.37, 4 Co 3.37
Cd1 0.0000 0.0000 0.5000  8 Sr 3.37
Co1 0.5000 0.5000 0.5000  8 Sr 3.37

Output
formation enthalpy at 0 K: 90 kJ/mol of formula units
SG: Cmmm (65)
spin magnetization: 0.86 μB/f.u.
D(E_F): 8.639 states/eV per cell
uncorrected energy: -2.613 eV per atom